Compound: K2SiMoO6
Source: Alexandria
Functional: GGA+U
Structure: optimized geometry

The total DFT energy (no corrections) comes out at -6.321 eV/atom. The crystal system is cubic. For the magnetization, the calculation gives 0.00 μB per atom. Its symmetry is Fm-3m.

Lattice parameters (Å, degrees): 5.3872 5.3872 5.3872 60.00 60.00 60.00
Positions (direct):
K 0.2500 0.2500 0.2500
K 0.7500 0.7500 0.7500
Si 0.0000 0.0000 0.0000
Mo 0.5000 0.5000 0.5000
O 0.2416 0.2416 0.7584
O 0.2416 0.7584 0.2416
O 0.2416 0.7584 0.7584
O 0.7584 0.2416 0.2416
O 0.7584 0.2416 0.7584
O 0.7584 0.7584 0.2416